NdMnO3 | GGA+U | relaxed

Cell lengths 6.903, 5.821, 7.085 Å; angles 87.96, 90.00, 90.00 degrees
Last column: magnetic moment on the atom in μB.
Element x y z (fractional)
O  0.675  0.412  0.885  -0.02
O  0.175  0.588  0.615  -0.02
O  0.353  0.928  0.835  -0.05
Nd  0.847  0.656  0.672  0.02
O  0.825  0.412  0.385  -0.02
O  0.325  0.588  0.115  -0.02
Mn  0.694  0.116  0.435  3.89
Mn  0.806  0.116  0.935  3.89
O  0.147  0.928  0.335  -0.05
Nd  0.347  0.344  0.828  0.02
O  0.598  0.800  0.479  0.01
Mn  0.194  0.884  0.065  3.89
Nd  0.653  0.656  0.172  0.02
O  0.853  0.072  0.665  -0.05
O  0.647  0.072  0.165  -0.05
O  0.098  0.200  0.021  0.01
O  0.402  0.200  0.521  0.01
Nd  0.153  0.344  0.328  0.02
Mn  0.306  0.884  0.565  3.89
O  0.902  0.800  0.979  0.01

Output
symmetry: P2_1/c, No. 14
uncorrected energy: -7.8801 eV per atom